# Ni2WF (PBE with a Hubbard U, relaxed)
data_Ni2WF
_chemical_formula_sum 'Ni4 W2 F2'
_cell_length_a 5.1648
_cell_length_b 5.1648
_cell_length_c 5.1648
_cell_angle_alpha 101.67
_cell_angle_beta 101.67
_cell_angle_gamma 126.54
_space_group_name_H-M_alt 'P 1'
_space_group_IT_number 1
_space_group_name_Hall 'P 1'
loop_
_atom_site_label
_atom_site_fract_x
_atom_site_fract_y
_atom_site_fract_z
Ni1 0.0966 0.1250 0.4716
Ni2 0.3750 0.9034 0.0284
Ni3 0.6534 0.6250 0.5284
Ni4 0.8750 0.3466 0.9716
W1 0.2500 0.7500 0.5000
W2 0.5000 0.5000 0.0000
F1 0.0000 0.0000 0.0000
F2 0.7500 0.2500 0.5000
# Relative energy among the computed polymorphs: 0 meV/atom
# SG: I-42d
# DOS(E_F): 0.04 states/eV/cell